The following is a PBE calculation of crystalline Tb2PrDy2Y6 at its relaxed geometry, from the Alexandria database.

The energy of formation from the pure elements is 15.0 kJ/mol of atoms. The crystal system is orthorhombic.

The space group is Cmmm (No. 65) and the conventional cell measures 5.7204, 12.0435 and 10.5745 Å, with angles of 90.00, 90.00 and 90.00 degrees. Symmetry generates all atoms from Tb at (0.0000, 0.1345, 0.0000), Pr at (0.0000, 0.5000, 0.5000), Dy at (0.0000, 0.2044, 0.5000), Y at (0.0000, 0.0000, 0.2883) and Y at (0.0000, 0.3468, 0.2046).